1.
# PBE-GGA Ce6InHg2, relaxed
# Crystal system: orthorhombic
# Fermi-level density of states in states/eV per atom: 2.726
# Formation energy from the elements in eV/atom: -0.1063
# Offset from the most stable computed form in kJ/mol of atoms: 6.0
data_Ce6InHg2
_chemical_formula_sum 'Ce12 In2 Hg4'
_cell_length_a 3.1006
_cell_length_b 8.8384
_cell_length_c 16.8566
_cell_angle_alpha 90.00
_cell_angle_beta 90.00
_cell_angle_gamma 90.00
_symmetry_space_group_name_H-M 'I m m m'
_symmetry_Int_Tables_number 71
_symmetry_space_group_name_Hall '-I 2 2'
loop_
_atom_site_label
_atom_site_type_symbol
_atom_site_fract_x
_atom_site_fract_y
_atom_site_fract_z
Ce1 Ce 0.0000 0.1563 0.0000
Ce2 Ce 0.0000 0.3434 0.1629
In1 In 0.0000 0.0000 0.5000
Hg1 Hg 0.0000 0.5000 0.3409

---

2.
# PBE-GGA SmSiAg, relaxed
# Crystal system: monoclinic
# Fermi-level density of states in states/eV per atom: 0.194
# Formation energy (no corrections) in meV/atom: -563
data_SmSiAg
_chemical_formula_sum 'Sm6 Si6 Ag6'
_cell_length_a 7.2006
_cell_length_b 4.3043
_cell_length_c 12.2657
_cell_angle_alpha 90.00
_cell_angle_beta 90.50
_cell_angle_gamma 90.00
_symmetry_space_group_name_H-M 'P 1 21/m 1'
_symmetry_Int_Tables_number 11
_symmetry_space_group_name_Hall '-P 2yb'
loop_
_atom_site_label
_atom_site_type_symbol
_atom_site_fract_x
_atom_site_fract_y
_atom_site_fract_z
Sm1 Sm 0.0202 0.2500 0.1244
Sm2 Sm 0.1599 0.2500 0.4203
Sm3 Sm 0.4803 0.7500 0.7948
Si1 Si 0.2313 0.7500 0.2502
Si2 Si 0.2552 0.7500 0.5887
Si3 Si 0.2641 0.2500 0.9213
Ag1 Ag 0.1441 0.2500 0.7041
Ag2 Ag 0.3492 0.7500 0.0410
Ag3 Ag 0.4939 0.7500 0.4109